LaGaP2S | GGA-PBE | optimized geometry

Values from the calculation:
- distance to the lowest polymorph of the same formula (meV per atom) = 0
- total moment (μB per formula unit) = 0.00
- raw formation energy (meV per atom) = -370

a = 4.650 Å, b = 4.650 Å, c = 5.014 Å
α = 90.00°, β = 90.00°, γ = 90.00°
Space group P4/mmm (No. 123)
Asymmetric unit:
La (0.000, 0.000, 0.000)
Ga (0.500, 0.500, 0.500)
P (0.000, 0.500, 0.500)
S (0.500, 0.500, 0.000)